AsWBr2O (PBE+U, optimized geometry); density of states at the Fermi level = 2.48 states/eV/f.u.; uncorrected energy = -3.162 eV per atom; theoretical density = 7087 kg/m3; SG = P4/mmm, No. 123
1.0
4.765 0.000 0.000
0.000 4.765 0.000
0.000 0.000 4.484
As W Br O
1 1 2 1
direct
0.000 0.000 0.000
0.500 0.500 0.000
0.000 0.500 0.500
0.500 0.000 0.500
0.000 0.000 0.500